(1)
VASP calculation (PBE) on crystalline AcEuPdRh at its relaxed geometry.

Results
energy relative to the elements	-0.586	eV/atom
E_tot	-29.27	eV per cell
M_tot	6.85	μB/f.u.

Unit cell a=5.184 b=5.184 c=5.184 alpha=60.00 beta=60.00 gamma=60.00
Each line ends with the local moment (μB).
Positions (direct):
Eu 0.250 0.250 0.250  6.76
Ac 0.750 0.750 0.750  0.02
Rh 0.500 0.500 0.500  -0.14
Pd 0.000 0.000 0.000  -0.03

***

(2)
VASP calculation (PBE) on crystalline AcEuSiPd at its relaxed geometry.

Results
energy relative to the elements, uncorrected	-204	kJ/mol of formula units
E_tot	-27.12	eV per cell
M_tot	6.81	μB/f.u.

Unit cell a=5.307 b=5.307 c=5.307 alpha=60.00 beta=60.00 gamma=60.00
Each line ends with the local moment (μB).
Positions (direct):
Eu 0.250 0.250 0.250  6.77
Ac 0.750 0.750 0.750  -0.01
Si 0.500 0.500 0.500  -0.04
Pd 0.000 0.000 0.000  -0.04

***

(3)
VASP calculation (PBE) on crystalline AcEuTlPd at its relaxed geometry.

Results
energy relative to the elements	-0.459	eV/atom
E_tot	-23.78	eV per cell
M_tot	7.11	μB/f.u.

Unit cell a=5.515 b=5.515 c=5.515 alpha=60.00 beta=60.00 gamma=60.00
Each line ends with the local moment (μB).
Positions (direct):
Eu 0.250 0.250 0.250  -6.84
Ac 0.750 0.750 0.750  -0.01
Tl 0.000 0.000 0.000  -0.01
Pd 0.500 0.500 0.500  0.00

***

(4)
VASP calculation (PBE) on crystalline Ac2PmEu at its relaxed geometry.

Results
distance to the lowest polymorph of the same formula	0.31	eV/f.u.
energy relative to the elements	0.093	eV/atom
E_tot	-22.87	eV per cell
M_tot	8.16	μB/f.u.

Unit cell a=6.158 b=6.158 c=6.158 alpha=60.00 beta=60.00 gamma=60.00
Each line ends with the local moment (μB).
Positions (direct):
Eu 0.000 0.000 0.000  6.91
Ac 0.250 0.250 0.250  0.10
Ac 0.750 0.750 0.750  0.10
Pm 0.500 0.500 0.500  0.14

***

(5)
VASP calculation (PBE) on crystalline Ac2PmEu at its relaxed geometry.

Results
distance to the lowest polymorph of the same formula	0.04	eV/f.u.
energy relative to the elements	0.025	eV/atom
E_tot	-23.14	eV per cell
M_tot	7.54	μB/f.u.

Unit cell a=3.920 b=3.920 c=10.796 alpha=90.00 beta=90.00 gamma=90.00
Each line ends with the local moment (μB).
Positions (direct):
Eu 0.500 0.500 0.500  -6.97
Ac 0.000 0.000 0.763  -0.04
Ac 0.000 0.000 0.237  -0.04
Pm 0.500 0.500 0.000  0.06

***

(6)
VASP calculation (PBE) on crystalline AcPm2Eu at its relaxed geometry.

Results
distance to the lowest polymorph of the same formula	0.35	eV/f.u.
energy relative to the elements	0.147	eV/atom
E_tot	-23.30	eV per cell
M_tot	8.01	μB/f.u.

Unit cell a=6.021 b=6.021 c=6.021 alpha=60.00 beta=60.00 gamma=60.00
Each line ends with the local moment (μB).
Positions (direct):
Eu 0.000 0.000 0.000  6.91
Ac 0.500 0.500 0.500  0.09
Pm 0.250 0.250 0.250  0.14
Pm 0.750 0.750 0.750  0.14

***

(7)
VASP calculation (PBE) on crystalline AcPmEu at its relaxed geometry.

Results
distance to the lowest polymorph of the same formula	0.00	eV/f.u.
energy relative to the elements	0.031	eV/atom
E_tot	-19.04	eV per cell
M_tot	7.45	μB/f.u.

Unit cell a=3.873 b=3.873 c=8.489 alpha=103.18 beta=103.18 gamma=90.00
Each line ends with the local moment (μB).
Positions (direct):
Eu 0.995 0.995 0.990  6.99
Ac 0.674 0.674 0.347  -0.02
Pm 0.331 0.331 0.663  -0.01

***

(8)
VASP calculation (PBE) on crystalline Ac4PmEu at its relaxed geometry.

Results
energy relative to the elements	0.277	eV/atom
E_tot	-29.80	eV per cell
M_tot	7.29	μB/f.u.

Unit cell a=7.295 b=7.295 c=7.295 alpha=60.00 beta=60.00 gamma=60.00
Each line ends with the local moment (μB).
Positions (direct):
Eu 0.250 0.250 0.250  6.93
Ac 0.626 0.626 0.122  0.01
Ac 0.626 0.122 0.626  0.01
Ac 0.626 0.626 0.626  0.01
Ac 0.122 0.626 0.626  0.01
Pm 0.000 0.000 0.000  -0.10

***

| no. | theoretical density (g cm⁻³) |
| --- | --- |
| 1 | 9.91 |
| 2 | 8.07 |
| 3 | 9.65 |
| 4 | 7.55 |
| 5 | 7.52 |
| 6 | 7.20 |
| 7 | 7.22 |
| 8 | 7.29 |